## 1
Material: Ca2TaV
Method: DFT, PBE
State: relaxed

Cell and atoms, written as POSCAR:
```
Ca2TaV
1.0
4.7444 0.7659 2.0592
0.9913 -1.4971 4.9104
3.1460 -4.0766 0.9054
Ca Ta V
2 1 1
Direct
0.2500 0.2500 0.2500
0.7500 0.7500 0.7500
0.5000 0.5000 0.5000
0.0000 0.0000 0.0000
```

## Properties
Its density of states at the Fermi level is 1.626 states/eV per atom. The value obtained for the magnetic moment is 0.82 μB per cell.

***

## 2
Material: Ca2TaV
Method: DFT, PBE
State: relaxed

Cell and atoms, written as POSCAR:
```
Ca2TaV
1.0
-4.5846 2.5408 -6.4834
5.4024 -3.6001 -5.2310
-1.0951 -2.9522 -5.7431
Ca Ta V
4 2 2
Direct
0.6034 0.1250 0.2500
0.1466 0.6250 0.2500
0.3750 0.3966 0.7500
0.8750 0.8534 0.7500
0.0000 0.0000 0.0000
0.7500 0.2500 0.5000
0.5000 0.5000 0.0000
0.2500 0.7500 0.5000
```

## Properties
Its density of states at the Fermi level is 1.178 states/eV per atom. The value obtained for the magnetic moment is 6.36 μB per cell.

***

In order of decreasing stability: 1, 2.

***

## 1
Material: CaTaW2
Method: DFT, PBE
State: relaxed

Cell and atoms, written as POSCAR:
```
CaTaW2
1.0
5.3974 0.0072 0.0000
2.3347 4.8663 0.0000
-3.8660 -2.4367 2.8719
Ca W Ta
1 2 1
Direct
0.2500 0.7500 0.5000
0.0000 0.0000 0.0000
0.5000 0.5000 0.0000
0.7500 0.2500 0.5000
```

## Properties
Its density of states at the Fermi level is 1.111 states/eV per atom. The value obtained for the magnetic moment is 0.00 μB per cell.

***

## 2
Material: CaTaW2
Method: DFT, PBE
State: relaxed

Cell and atoms, written as POSCAR:
```
CaTaW2
1.0
-6.1358 4.5116 -0.5731
-4.4696 -5.8044 2.1593
-4.9883 0.1286 3.5272
Ca W Ta
2 4 2
Direct
0.5000 0.5000 0.0000
0.2500 0.7500 0.5000
0.6591 0.1250 0.2500
0.0909 0.6250 0.2500
0.3750 0.3409 0.7500
0.8750 0.9091 0.7500
0.0000 0.0000 0.0000
0.7500 0.2500 0.5000
```

## Properties
Its density of states at the Fermi level is 1.287 states/eV per atom. The value obtained for the magnetic moment is 0.00 μB per cell.

***

In order of decreasing stability: 1, 2.